Entry 1:
A relaxed structure of Tb6Ho3Tm2. Source: the Alexandria database, functional GGA-PBE.

a b c (Å): 3.531 3.531 31.682
angles (deg): 86.81 86.81 60.00
Positions (direct):
Tb 0.909 0.909 0.273
Tb 0.091 0.091 0.727
Tb 0.818 0.818 0.546
Tb 0.182 0.182 0.454
Tb 0.636 0.636 0.091
Tb 0.364 0.364 0.909
Ho 0.000 0.000 0.000
Ho 0.727 0.727 0.818
Ho 0.273 0.273 0.182
Tm 0.545 0.545 0.364
Tm 0.455 0.455 0.636

Summary:
DFT total energy in eV per atom: -4.568
Mass density in g/cm3: 8.7
Symmetry: R-3m

Entry 2:
A relaxed structure of CsPmCuBr5. Source: the Alexandria database, functional GGA-PBE.

a b c (Å): 8.030 8.030 10.873
angles (deg): 103.89 103.89 105.60
Last column: magnetic moment on the atom in μB.
Positions (direct):
Cs 0.351 0.649 0.250  0.00
Cs 0.649 0.351 0.750  0.00
Pm 0.000 0.000 0.500  0.00
Pm 0.000 0.000 0.000  0.00
Cu 0.693 0.307 0.250  0.12
Cu 0.307 0.693 0.750  0.12
Br 0.074 0.926 0.250  0.00
Br 0.926 0.074 0.750  0.00
Br 0.895 0.306 0.110  0.01
Br 0.105 0.694 0.890  0.01
Br 0.694 0.105 0.390  0.01
Br 0.306 0.895 0.610  0.01
Br 0.775 0.619 0.419  0.01
Br 0.225 0.381 0.581  0.01
Br 0.381 0.225 0.081  0.01
Br 0.619 0.775 0.919  0.01

Summary:
Mass density in g/cm3: 4.0
Symmetry: C2/c
Formation energy (no corrections) in eV per atom: -1.45

Entry 3:
A relaxed structure of AsSeBrN2. Source: the Alexandria database, functional GGA-PBE.

a b c (Å): 3.819 3.819 7.732
angles (deg): 90.00 90.00 90.00
Last column: magnetic moment on the atom in μB.
Positions (direct):
As 0.500 0.500 0.500  0.16
Se 0.000 0.000 0.500  -0.01
Br 0.000 0.000 0.000  -0.02
N 0.000 0.500 0.000  0.29
N 0.500 0.000 0.000  0.29

Summary:
Mass density in g/cm3: 3.9
Symmetry: P4/mmm
Formation energy (no corrections) in eV per atom: 2.05

Entry 4:
A relaxed structure of ZnAs2W. Source: the Alexandria database, functional GGA-PBE.

a b c (Å): 4.684 4.684 4.684
angles (deg): 125.62 125.62 80.52
Last column: magnetic moment on the atom in μB.
Positions (direct):
As 0.000 0.000 0.000  0.01
As 0.500 0.500 0.000  0.01
W 0.250 0.750 0.500  0.46
Zn 0.750 0.250 0.500  0.01

Summary:
DFT total energy in eV per atom: -5.430
Mass density in g/cm3: 10.1
Symmetry: I4/mmm

N(E_F) values (in states/eV per atom) by entry order: 1.32, 0.00, 0.58, 0.95.